First-principles (PBE-GGA) data for an optimized crystal structure of YCrPRh2, as listed in Alexandria via LeMat-Bulk.

a b c (Å): 4.560 4.394 4.560
angles (deg): 90.00 90.00 90.00
Sites, in units of the cell vectors:
Y1 0.500 0.500 0.500
Cr1 0.000 0.000 0.000
Rh1 0.000 0.000 0.500
Rh2 0.500 0.000 0.000
P1 0.000 0.500 0.000

Properties
Energy relative to the elements (kJ/mol of atoms): -7.40
Size of the total moment (μB per formula unit): 0.00
Space-group type: No. 123